(1)
# Tb2PmHoTl4, optimized geometry, DFT PBE
data_Tb2PmHoTl4
_chemical_formula_sum 'Tb2 Pm1 Ho1 Tl4'
_space_group_name_H-M_alt 'P 1'
_space_group_IT_number 1
_space_group_name_Hall 'P 1'
_cell_length_a 9.376
_cell_length_b 9.376
_cell_length_c 9.376
_cell_angle_alpha 33.48
_cell_angle_beta 33.48
_cell_angle_gamma 33.48
loop_
_atom_site_label
_atom_site_type_symbol
_atom_site_fract_x
_atom_site_fract_y
_atom_site_fract_z
Tb1 Tb 0.249 0.249 0.249
Tb2 Tb 0.751 0.751 0.751
Pm1 Pm 0.000 0.000 0.000
Ho1 Ho 0.500 0.500 0.500
Tl1 Tl 0.126 0.126 0.126
Tl2 Tl 0.376 0.376 0.376
Tl3 Tl 0.624 0.624 0.624
Tl4 Tl 0.874 0.874 0.874
# DFT total energy: -30.9 eV per cell
# calculated volume: 27.9 Å³/atom

---

(2)
# Tb2PmHoTl2, optimized geometry, DFT PBE
data_Tb2PmHoTl2
_chemical_formula_sum 'Tb4 Pm2 Ho2 Tl4'
_space_group_name_H-M_alt 'P 1'
_space_group_IT_number 1
_space_group_name_Hall 'P 1'
_cell_length_a 5.141
_cell_length_b 10.048
_cell_length_c 6.857
_cell_angle_alpha 90.00
_cell_angle_beta 90.00
_cell_angle_gamma 90.00
loop_
_atom_site_label
_atom_site_type_symbol
_atom_site_fract_x
_atom_site_fract_y
_atom_site_fract_z
Tb1 Tb 0.000 0.045 0.000
Tb2 Tb 0.000 0.955 0.500
Tb3 Tb 0.500 0.183 0.283
Tb4 Tb 0.500 0.817 0.783
Pm1 Pm 0.500 0.457 0.908
Pm2 Pm 0.500 0.543 0.408
Ho1 Ho 0.000 0.309 0.628
Ho2 Ho 0.000 0.691 0.128
Tl1 Tl 0.000 0.365 0.169
Tl2 Tl 0.000 0.635 0.669
Tl3 Tl 0.500 0.135 0.745
Tl4 Tl 0.500 0.865 0.245
# DFT total energy: -49.9 eV per cell
# calculated volume: 29.5 Å³/atom

---

(3)
# TbPmHoTl, optimized geometry, DFT PBE
data_TbPmHoTl
_chemical_formula_sum 'Tb1 Pm1 Ho1 Tl1'
_space_group_name_H-M_alt 'P 1'
_space_group_IT_number 1
_space_group_name_Hall 'P 1'
_cell_length_a 4.852
_cell_length_b 4.894
_cell_length_c 4.922
_cell_angle_alpha 90.00
_cell_angle_beta 90.00
_cell_angle_gamma 90.00
loop_
_atom_site_label
_atom_site_type_symbol
_atom_site_fract_x
_atom_site_fract_y
_atom_site_fract_z
Tb1 Tb 0.000 0.000 0.000
Pm1 Pm 0.500 0.500 0.000
Ho1 Ho 0.000 0.500 0.500
Tl1 Tl 0.500 0.000 0.500
# DFT total energy: -17.1 eV per cell
# calculated volume: 29.2 Å³/atom
# ΔE to the lowest computed polymorph: 0 meV/atom

---

(4)
# TbPmHoTl, optimized geometry, DFT PBE
data_TbPmHoTl
_chemical_formula_sum 'Tb1 Pm1 Ho1 Tl1'
_space_group_name_H-M_alt 'P 1'
_space_group_IT_number 1
_space_group_name_Hall 'P 1'
_cell_length_a 5.498
_cell_length_b 5.498
_cell_length_c 5.498
_cell_angle_alpha 60.00
_cell_angle_beta 60.00
_cell_angle_gamma 60.00
loop_
_atom_site_label
_atom_site_type_symbol
_atom_site_fract_x
_atom_site_fract_y
_atom_site_fract_z
Tb1 Tb 0.000 0.000 0.000
Pm1 Pm 0.250 0.250 0.250
Ho1 Ho 0.500 0.500 0.500
Tl1 Tl 0.750 0.750 0.750
# DFT total energy: -16.4 eV per cell
# calculated volume: 29.4 Å³/atom
# ΔE to the lowest computed polymorph: 176 meV/atom

---

(5)
# TbPm2HoTl4, optimized geometry, DFT PBE
data_TbPm2HoTl4
_chemical_formula_sum 'Tb1 Pm2 Ho1 Tl4'
_space_group_name_H-M_alt 'P 1'
_space_group_IT_number 1
_space_group_name_Hall 'P 1'
_cell_length_a 9.411
_cell_length_b 9.411
_cell_length_c 9.411
_cell_angle_alpha 33.50
_cell_angle_beta 33.50
_cell_angle_gamma 33.50
loop_
_atom_site_label
_atom_site_type_symbol
_atom_site_fract_x
_atom_site_fract_y
_atom_site_fract_z
Tb1 Tb 0.000 0.000 0.000
Pm1 Pm 0.250 0.250 0.250
Pm2 Pm 0.750 0.750 0.750
Ho1 Ho 0.500 0.500 0.500
Tl1 Tl 0.125 0.125 0.125
Tl2 Tl 0.375 0.375 0.375
Tl3 Tl 0.625 0.625 0.625
Tl4 Tl 0.875 0.875 0.875
# DFT total energy: -31.1 eV per cell
# calculated volume: 28.3 Å³/atom

---

(6)
# Tb2Pm6HoTm, optimized geometry, DFT PBE
data_Tb2Pm6HoTm
_chemical_formula_sum 'Tb4 Pm12 Ho2 Tm2'
_space_group_name_H-M_alt 'P 1'
_space_group_IT_number 1
_space_group_name_Hall 'P 1'
_cell_length_a 8.916
_cell_length_b 8.916
_cell_length_c 9.612
_cell_angle_alpha 93.85
_cell_angle_beta 93.85
_cell_angle_gamma 117.92
loop_
_atom_site_label
_atom_site_type_symbol
_atom_site_fract_x
_atom_site_fract_y
_atom_site_fract_z
Tb1 Tb 0.201 0.300 0.045
Tb2 Tb 0.300 0.201 0.545
Tb3 Tb 0.700 0.799 0.455
Tb4 Tb 0.799 0.700 0.955
Pm1 Pm 0.011 0.567 0.188
Pm2 Pm 0.121 0.761 0.554
Pm3 Pm 0.239 0.879 0.946
Pm4 Pm 0.290 0.507 0.382
Pm5 Pm 0.433 0.989 0.312
Pm6 Pm 0.493 0.710 0.118
Pm7 Pm 0.507 0.290 0.882
Pm8 Pm 0.567 0.011 0.688
Pm9 Pm 0.710 0.493 0.618
Pm10 Pm 0.761 0.121 0.054
Pm11 Pm 0.879 0.239 0.446
Pm12 Pm 0.989 0.433 0.812
Ho1 Ho 0.026 0.974 0.250
Ho2 Ho 0.974 0.026 0.750
Tm1 Tm 0.411 0.589 0.750
Tm2 Tm 0.589 0.411 0.250
# DFT total energy: -91.3 eV per cell
# calculated volume: 33.5 Å³/atom

---

(7)
# Tb2PmHo4Tm, optimized geometry, DFT PBE
data_Tb2PmHo4Tm
_chemical_formula_sum 'Tb4 Pm2 Ho8 Tm2'
_space_group_name_H-M_alt 'P 1'
_space_group_IT_number 1
_space_group_name_Hall 'P 1'
_cell_length_a 9.464
_cell_length_b 9.464
_cell_length_c 6.769
_cell_angle_alpha 110.95
_cell_angle_beta 110.95
_cell_angle_gamma 88.70
loop_
_atom_site_label
_atom_site_type_symbol
_atom_site_fract_x
_atom_site_fract_y
_atom_site_fract_z
Tb1 Tb 0.000 0.000 0.000
Tb2 Tb 0.000 0.000 0.500
Tb3 Tb 0.000 0.500 0.000
Tb4 Tb 0.500 0.000 0.500
Pm1 Pm 0.000 0.500 0.500
Pm2 Pm 0.500 0.000 0.000
Ho1 Ho 0.251 0.253 0.003
Ho2 Ho 0.252 0.747 0.001
Ho3 Ho 0.253 0.251 0.503
Ho4 Ho 0.253 0.748 0.499
Ho5 Ho 0.747 0.252 0.501
Ho6 Ho 0.747 0.749 0.497
Ho7 Ho 0.748 0.253 0.999
Ho8 Ho 0.749 0.747 0.997
Tm1 Tm 0.500 0.500 0.000
Tm2 Tm 0.500 0.500 0.500
# DFT total energy: -66.5 eV per cell
# calculated volume: 32.8 Å³/atom

---

(8)
# Tb2Pm2HoTm2, optimized geometry, DFT PBE
data_Tb2Pm2HoTm2
_chemical_formula_sum 'Tb2 Pm2 Ho1 Tm2'
_space_group_name_H-M_alt 'P 1'
_space_group_IT_number 1
_space_group_name_Hall 'P 1'
_cell_length_a 8.767
_cell_length_b 8.767
_cell_length_c 8.767
_cell_angle_alpha 37.71
_cell_angle_beta 37.71
_cell_angle_gamma 37.71
loop_
_atom_site_label
_atom_site_type_symbol
_atom_site_fract_x
_atom_site_fract_y
_atom_site_fract_z
Tb1 Tb 0.216 0.216 0.216
Tb2 Tb 0.784 0.784 0.784
Pm1 Pm 0.361 0.361 0.361
Pm2 Pm 0.639 0.639 0.639
Ho1 Ho 0.500 0.500 0.500
Tm1 Tm 0.073 0.073 0.073
Tm2 Tm 0.927 0.927 0.927
# DFT total energy: -31.3 eV per cell
# calculated volume: 32.3 Å³/atom

---

(9)
# TbPmHoTm2, optimized geometry, DFT PBE
data_TbPmHoTm2
_chemical_formula_sum 'Tb2 Pm2 Ho2 Tm4'
_space_group_name_H-M_alt 'P 1'
_space_group_IT_number 1
_space_group_name_Hall 'P 1'
_cell_length_a 8.866
_cell_length_b 8.866
_cell_length_c 6.343
_cell_angle_alpha 90.00
_cell_angle_beta 90.00
_cell_angle_gamma 138.05
loop_
_atom_site_label
_atom_site_type_symbol
_atom_site_fract_x
_atom_site_fract_y
_atom_site_fract_z
Tb1 Tb 0.156 0.844 0.750
Tb2 Tb 0.844 0.156 0.250
Pm1 Pm 0.342 0.658 0.750
Pm2 Pm 0.658 0.342 0.250
Ho1 Ho 0.255 0.745 0.250
Ho2 Ho 0.745 0.255 0.750
Tm1 Tm 0.251 0.251 0.000
Tm2 Tm 0.251 0.251 0.500
Tm3 Tm 0.749 0.749 0.000
Tm4 Tm 0.749 0.749 0.500
# DFT total energy: -42.2 eV per cell
# calculated volume: 33.3 Å³/atom

---

(10)
# TbPm2Ho5Tm, optimized geometry, DFT PBE
data_TbPm2Ho5Tm
_chemical_formula_sum 'Tb2 Pm4 Ho10 Tm2'
_space_group_name_H-M_alt 'P 1'
_space_group_IT_number 1
_space_group_name_Hall 'P 1'
_cell_length_a 9.884
_cell_length_b 9.884
_cell_length_c 9.884
_cell_angle_alpha 128.43
_cell_angle_beta 128.43
_cell_angle_gamma 75.93
loop_
_atom_site_label
_atom_site_type_symbol
_atom_site_fract_x
_atom_site_fract_y
_atom_site_fract_z
Tb1 Tb 0.250 0.250 0.000
Tb2 Tb 0.750 0.750 0.000
Pm1 Pm 0.117 0.617 0.735
Pm2 Pm 0.383 0.117 0.500
Pm3 Pm 0.617 0.883 0.500
Pm4 Pm 0.883 0.383 0.265
Ho1 Ho 0.000 0.000 0.000
Ho2 Ho 0.072 0.148 0.500
Ho3 Ho 0.148 0.648 0.075
Ho4 Ho 0.352 0.428 0.500
Ho5 Ho 0.428 0.928 0.075
Ho6 Ho 0.500 0.500 0.000
Ho7 Ho 0.572 0.072 0.925
Ho8 Ho 0.648 0.572 0.500
Ho9 Ho 0.852 0.352 0.925
Ho10 Ho 0.928 0.852 0.500
Tm1 Tm 0.250 0.750 0.500
Tm2 Tm 0.750 0.250 0.500
# DFT total energy: -78.0 eV per cell
# calculated volume: 32.0 Å³/atom

---

| no. | formation energy from the elements (eV/f.u.) |
| --- | --- |
| 1 | -2.81 |
| 2 | -1.62 |
| 3 | -0.74 |
| 4 | -0.04 |
| 5 | -2.89 |
| 6 | 1.16 |
| 7 | 3.52 |
| 8 | 0.97 |
| 9 | 1.80 |
| 10 | 2.51 |